A plane-wave DFT calculation with PBE-GGA was carried out for crystalline HfCoAs at its relaxed geometry.

Cell: 6.552 6.552 3.708 Å, 90.00 90.00 120.00°
Each line ends with the local moment (μB).
Positions (direct):
Hf 0.391 0.391 0.500  -0.01
Hf 0.000 0.609 0.500  -0.01
Hf 0.609 0.000 0.500  -0.01
As 0.278 0.000 0.000  0.00
As 0.000 0.278 0.000  0.00
As 0.722 0.722 0.000  0.00
Co 0.333 0.667 0.000  -0.01
Co 0.667 0.333 0.000  -0.01
Co 0.000 0.000 0.500  0.10

Results
energy	-7.902	eV/atom